A.
Material: Al2GaGe
Method: DFT, PBEsol
State: relaxed

Spin magnetization (μB/f.u.): 0.00
Volume (A^3/atom): 17.2
Mass density (g cm⁻³): 4.73

a = 4.6011 Å, b = 4.6011 Å, c = 4.6011 Å
α = 60.00°, β = 60.00°, γ = 60.00°
Closest atoms and distances in Å follow each position.
Fractional positions:
1 Al 0.2500 0.2500 0.2500  4 Ge 2.82, 4 Ga 2.82
2 Al 0.7500 0.7500 0.7500  4 Ga 2.82, 4 Ge 2.82
3 Ga 0.0000 0.0000 0.0000  8 Al 2.82
4 Ge 0.5000 0.5000 0.5000  8 Al 2.82

=====

B.
Material: Al2GaGe
Method: DFT, PBEsol
State: relaxed

Spin magnetization (μB/f.u.): 0.00
Volume (A^3/atom): 18.3
Mass density (g cm⁻³): 4.47

a = 5.8372 Å, b = 5.8372 Å, c = 5.8372 Å
α = 102.91°, β = 102.91°, γ = 123.59°
Closest atoms and distances in Å follow each position.
Fractional positions:
1 Al 0.1067 0.6250 0.9817  2 Ge 2.57, 2 Ga 2.76, 2 Al 2.77
2 Al 0.3750 0.3567 0.4817  2 Ge 2.57, 2 Ga 2.76, 2 Al 2.77
3 Al 0.6433 0.1250 0.0183  2 Ge 2.57, 2 Ga 2.76, 2 Al 2.77
4 Al 0.8750 0.8933 0.5183  2 Ge 2.57, 2 Ga 2.76, 2 Al 2.77
5 Ga 0.2500 0.7500 0.5000  4 Al 2.76, 2 Ge 2.76
6 Ga 0.5000 0.5000 0.0000  4 Al 2.76, 2 Ge 2.76
7 Ge 0.0000 0.0000 0.0000  4 Al 2.57, 2 Ga 2.76
8 Ge 0.7500 0.2500 0.5000  4 Al 2.57, 2 Ga 2.76

=====

Which one is most stable, and which one is least stable? A is the most stable of them, while B is the least stable.

=====

A.
Material: Al2Ga2Hg
Method: DFT, PBEsol
State: relaxed

Spin magnetization (μB/f.u.): 0.00
Volume (A^3/atom): 19.4
Mass density (g cm⁻³): 6.76

a = 6.3629 Å, b = 6.3629 Å, c = 6.3629 Å
α = 142.04°, β = 142.04°, γ = 54.76°
Closest atoms and distances in Å follow each position.
Fractional positions:
1 Al 0.2500 0.7500 0.5000  4 Ga 2.63, 4 Al 2.93
2 Al 0.7500 0.2500 0.5000  4 Ga 2.63, 4 Al 2.93
3 Ga 0.1070 0.1070 0.0000  1 Ga 2.42, 4 Al 2.63
4 Ga 0.8930 0.8930 0.0000  1 Ga 2.42, 4 Al 2.63
5 Hg 0.5000 0.5000 0.0000  8 Ga 3.17, 8 Al 3.50

=====

B.
Material: Al2Ga2Hg
Method: DFT, PBEsol
State: relaxed

Spin magnetization (μB/f.u.): 0.00
Volume (A^3/atom): 18.6
Mass density (g cm⁻³): 7.02

a = 8.2041 Å, b = 8.2041 Å, c = 2.7691 Å
α = 90.00°, β = 90.00°, γ = 90.00°
Closest atoms and distances in Å follow each position.
Fractional positions:
1 Al 0.1401 0.3599 0.0000  6 Ga 2.73-2.80, 2 Al 2.77
2 Al 0.3599 0.8599 0.0000  6 Ga 2.73-2.80, 2 Al 2.77
3 Al 0.6401 0.1401 0.0000  6 Ga 2.73-2.80, 2 Al 2.77
4 Al 0.8599 0.6401 0.0000  6 Ga 2.73-2.80, 2 Al 2.77
5 Ga 0.1567 0.6567 0.5000  6 Al 2.73-2.80, 2 Ga 2.77
6 Ga 0.3433 0.1567 0.5000  6 Al 2.73-2.80, 2 Ga 2.77
7 Ga 0.6567 0.8433 0.5000  6 Al 2.73-2.80, 2 Ga 2.77
8 Ga 0.8433 0.3433 0.5000  6 Al 2.73-2.80, 2 Ga 2.77
9 Hg 0.0000 0.0000 0.5000  2 Hg 2.77, 4 Ga 3.10
10 Hg 0.5000 0.5000 0.5000  2 Hg 2.77, 4 Ga 3.10

=====

Which one is most stable, and which one is least stable? B is the most stable of them, while A is the least stable.

=====

A.
Material: AlGaN2
Method: DFT, PBEsol
State: relaxed

Spin magnetization (μB/f.u.): 0.00
Volume (A^3/atom): 10.9
Mass density (g cm⁻³): 4.75

a = 5.4343 Å, b = 5.4343 Å, c = 5.4343 Å
α = 131.85°, β = 131.85°, γ = 70.47°
Closest atoms and distances in Å follow each position.
Fractional positions:
1 Al 0.0000 0.0000 0.0000  4 N 1.89
2 Al 0.7500 0.2500 0.5000  4 N 1.89
3 Ga 0.2500 0.7500 0.5000  4 N 1.95
4 Ga 0.5000 0.5000 0.0000  4 N 1.95
5 N 0.1134 0.6250 0.9884  2 Al 1.89, 2 Ga 1.95
6 N 0.3750 0.3634 0.4884  2 Al 1.89, 2 Ga 1.95
7 N 0.6366 0.1250 0.0116  2 Al 1.89, 2 Ga 1.95
8 N 0.8750 0.8866 0.5116  2 Al 1.89, 2 Ga 1.95

=====

B.
Material: AlGaN2
Method: DFT, PBEsol
State: relaxed

Spin magnetization (μB/f.u.): 0.00
Volume (A^3/atom): 10.9
Mass density (g cm⁻³): 4.74

a = 3.1454 Å, b = 3.1454 Å, c = 5.0960 Å
α = 90.00°, β = 90.00°, γ = 120.00°
Closest atoms and distances in Å follow each position.
Fractional positions:
1 Al 0.0000 0.0000 0.0000  4 N 1.90-1.91
2 Ga 0.3333 0.6667 0.5023  4 N 1.93-1.96
3 N 0.0000 0.0000 0.3725  1 Al 1.90, 3 Ga 1.93
4 N 0.3333 0.6667 0.8868  3 Al 1.91, 1 Ga 1.96

=====

Which one is most stable, and which one is least stable? B is the most stable of them, while A is the least stable.

=====

A.
Material: Nd2Al3Ga
Method: DFT, PBEsol
State: relaxed

Spin magnetization (μB/f.u.): 0.00
Volume (A^3/atom): 20.7
Mass density (g cm⁻³): 5.86

a = 5.6190 Å, b = 5.6190 Å, c = 5.6190 Å
α = 59.62°, β = 59.62°, γ = 59.62°
Closest atoms and distances in Å follow each position.
Fractional positions:
1 Nd 0.1245 0.1245 0.1245  3 Ga 3.28, 9 Al 3.28-3.30, 4 Nd 3.43-3.44
2 Nd 0.8755 0.8755 0.8755  3 Ga 3.28, 9 Al 3.28-3.30, 4 Nd 3.43-3.44
3 Al 0.0000 0.5000 0.5000  4 Al 2.79, 2 Ga 2.81
4 Al 0.5000 0.0000 0.5000  4 Al 2.79, 2 Ga 2.81
5 Al 0.5000 0.5000 0.0000  4 Al 2.79, 2 Ga 2.81
6 Ga 0.5000 0.5000 0.5000  6 Al 2.81

=====

B.
Material: Nd2Al3Ga
Method: DFT, PBEsol
State: relaxed

Spin magnetization (μB/f.u.): 0.00
Volume (A^3/atom): 21.9
Mass density (g cm⁻³): 5.56

a = 3.7152 Å, b = 4.5160 Å, c = 7.8160 Å
α = 90.00°, β = 90.00°, γ = 90.00°
Closest atoms and distances in Å follow each position.
Fractional positions:
1 Nd 0.0000 0.0000 0.0000  2 Ga 3.19, 10 Al 3.20-3.23
2 Nd 0.0000 0.5000 0.4952  8 Al 3.17-3.21, 4 Ga 3.19
3 Al 0.5000 0.0000 0.6623  1 Ga 2.58, 2 Al 2.61
4 Al 0.5000 0.5000 0.1659  2 Ga 2.60, 1 Al 2.62
5 Al 0.5000 0.5000 0.8301  3 Al 2.61-2.62
6 Ga 0.5000 0.0000 0.3318  3 Al 2.58-2.60

=====

Which one is most stable, and which one is least stable? A is the most stable of them, while B is the least stable.

=====

A.
Material: Al2GaSn
Method: DFT, PBEsol
State: relaxed

Spin magnetization (μB/f.u.): 0.00
Volume (A^3/atom): 20.3
Mass density (g cm⁻³): 4.96

a = 6.0480 Å, b = 6.0480 Å, c = 6.0480 Å
α = 102.88°, β = 102.88°, γ = 123.66°
Closest atoms and distances in Å follow each position.
Fractional positions:
1 Al 0.1003 0.1250 0.4753  2 Ga 2.64, 2 Al 2.88, 2 Sn 2.89
2 Al 0.3750 0.8997 0.0247  2 Ga 2.64, 2 Al 2.88, 2 Sn 2.89
3 Al 0.6497 0.6250 0.5247  2 Ga 2.64, 2 Al 2.88, 2 Sn 2.89
4 Al 0.8750 0.3503 0.9753  2 Ga 2.64, 2 Al 2.88, 2 Sn 2.89
5 Ga 0.0000 0.0000 0.0000  4 Al 2.64, 2 Sn 2.86
6 Ga 0.7500 0.2500 0.5000  4 Al 2.64, 2 Sn 2.86
7 Sn 0.2500 0.7500 0.5000  2 Ga 2.86, 4 Al 2.89
8 Sn 0.5000 0.5000 0.0000  2 Ga 2.86, 4 Al 2.89

=====

B.
Material: Al2GaSn
Method: DFT, PBEsol
State: relaxed

Spin magnetization (μB/f.u.): 0.00
Volume (A^3/atom): 19.7
Mass density (g cm⁻³): 5.12

a = 4.8099 Å, b = 4.8099 Å, c = 4.8099 Å
α = 60.00°, β = 60.00°, γ = 60.00°
Closest atoms and distances in Å follow each position.
Fractional positions:
1 Al 0.2500 0.2500 0.2500  4 Sn 2.95, 4 Ga 2.95
2 Al 0.7500 0.7500 0.7500  4 Sn 2.95, 4 Ga 2.95
3 Ga 0.0000 0.0000 0.0000  8 Al 2.95
4 Sn 0.5000 0.5000 0.5000  8 Al 2.95

=====

Which one is most stable, and which one is least stable? B is the most stable of them, while A is the least stable.